(1)
First-principles (PBE-GGA) data for a relaxed ZnGa3Au crystal, as listed in Alexandria.

Properties
Relative energy among the computed polymorphs ... 29.3 kJ/mol of atoms
Symmetry ... No. 221
ΔH_f (0 K) ... 0.2564 eV/atom

abc: 5.034 5.034 5.034
angles: 90.00 90.00 90.00
Fractional coordinates of all 5 atoms:
Zn 0.500 0.500 0.500
Au 0.000 0.000 0.000
Ga 0.000 0.500 0.000
Ga 0.000 0.000 0.500
Ga 0.500 0.000 0.000

***

(2)
First-principles (PBE-GGA) data for a relaxed Pr4Er4Sc crystal, as listed in Alexandria.

Properties
Relative energy among the computed polymorphs ... 13.2 kJ/mol of atoms
Symmetry ... No. 5
ΔH_f (0 K) ... 0.1705 eV/atom

abc: 11.667 6.435 6.913
angles: 117.74 131.94 90.00
Fractional coordinates of all 9 atoms:
Pr 0.594 0.579 0.643
Pr 0.406 0.936 0.357
Pr 0.123 0.028 0.710
Pr 0.877 0.318 0.290
Er 0.500 0.078 0.000
Er 0.000 0.434 0.000
Er 0.300 0.444 0.672
Er 0.700 0.772 0.328
Sc 0.000 0.911 0.000

***

(3)
First-principles (PBE-GGA) data for a relaxed SrCa2Al crystal, as listed in Alexandria.

Properties
Symmetry ... No. 8
ΔH_f (0 K) ... -0.0039 eV/atom

abc: 7.133 7.133 5.834
angles: 65.84 65.84 32.71
Fractional coordinates of all 4 atoms:
Sr 0.543 0.543 0.457
Ca 0.952 0.952 0.049
Ca 0.748 0.748 0.752
Al 0.257 0.257 0.242

***

Q: Number 1 is which compound?
A: ZnGa3Au

***

Q: Which value of ΔH_f (0 K) does entry 2 give?
A: 0.1705 eV/atom